[1]
DFT (PBE) results for an optimized crystal structure of CaMn2Te.

```
data_CaMn2Te
_chemical_formula_sum 'Ca1 Mn2 Te1'
_space_group_name_H-M_alt 'P 1'
_space_group_IT_number 1
_space_group_name_Hall 'P 1'
_cell_length_a 4.456
_cell_length_b 4.456
_cell_length_c 5.675
_cell_angle_alpha 110.99
_cell_angle_beta 110.99
_cell_angle_gamma 59.85
loop_
_atom_site_label
_atom_site_type_symbol
_atom_site_fract_x
_atom_site_fract_y
_atom_site_fract_z
Ca1 Ca 0.000 0.000 0.000
Mn1 Mn 0.191 0.191 0.581
Mn2 Mn 0.809 0.809 0.419
Te1 Te 0.500 0.500 0.500
```

Values from the calculation:
ΔE_f (raw) = 69.8 kJ/mol of formula units
Fermi-level density of states = 4.4 states/eV per cell
E_tot = -22.76 eV per cell
symmetry = No. 12



[2]
DFT (PBE) results for an optimized crystal structure of K5Re3.

```
data_K5Re3
_chemical_formula_sum 'K5 Re3'
_space_group_name_H-M_alt 'P 1'
_space_group_IT_number 1
_space_group_name_Hall 'P 1'
_cell_length_a 7.898
_cell_length_b 7.898
_cell_length_c 4.675
_cell_angle_alpha 90.00
_cell_angle_beta 90.00
_cell_angle_gamma 99.85
loop_
_atom_site_label
_atom_site_type_symbol
_atom_site_fract_x
_atom_site_fract_y
_atom_site_fract_z
K1 K 0.000 0.000 0.000
K2 K 0.000 0.500 0.000
K3 K 0.249 0.751 0.500
K4 K 0.500 0.000 0.000
K5 K 0.751 0.249 0.500
Re1 Re 0.389 0.389 0.500
Re2 Re 0.500 0.500 0.000
Re3 Re 0.611 0.611 0.500
```

Values from the calculation:
Fermi-level density of states = 8.4 states/eV per cell
E_tot = -33.62 eV per cell
symmetry = No. 65



[3]
DFT (PBE) results for an optimized crystal structure of Zn2CdAs.

```
data_Zn2CdAs
_chemical_formula_sum 'Zn2 Cd1 As1'
_space_group_name_H-M_alt 'P 1'
_space_group_IT_number 1
_space_group_name_Hall 'P 1'
_cell_length_a 8.887
_cell_length_b 8.887
_cell_length_c 8.887
_cell_angle_alpha 20.47
_cell_angle_beta 20.47
_cell_angle_gamma 20.47
loop_
_atom_site_label
_atom_site_type_symbol
_atom_site_fract_x
_atom_site_fract_y
_atom_site_fract_z
Zn1 Zn 0.000 0.000 0.000
Zn2 Zn 0.261 0.261 0.261
Cd1 Cd 0.751 0.751 0.751
As1 As 0.515 0.515 0.515
```

Values from the calculation:
Fermi-level density of states = 0.7 states/eV per cell
E_tot = -7.59 eV per cell
energy relative to the lowest polymorph listed for this composition = 54 meV per atom
symmetry = No. 160



Q: E_tot of number 2 (K5Re3)?
A: -33.62 eV per cell



Q: Look up the Fermi-level density of states of the second one.
A: 8.4 states/eV per cell



Please write out number 1 again, unchanged.
DFT (PBE) results for an optimized crystal structure of CaMn2Te.

```
data_CaMn2Te
_chemical_formula_sum 'Ca1 Mn2 Te1'
_space_group_name_H-M_alt 'P 1'
_space_group_IT_number 1
_space_group_name_Hall 'P 1'
_cell_length_a 4.456
_cell_length_b 4.456
_cell_length_c 5.675
_cell_angle_alpha 110.99
_cell_angle_beta 110.99
_cell_angle_gamma 59.85
loop_
_atom_site_label
_atom_site_type_symbol
_atom_site_fract_x
_atom_site_fract_y
_atom_site_fract_z
Ca1 Ca 0.000 0.000 0.000
Mn1 Mn 0.191 0.191 0.581
Mn2 Mn 0.809 0.809 0.419
Te1 Te 0.500 0.500 0.500
```

Values from the calculation:
ΔE_f (raw) = 69.8 kJ/mol of formula units
Fermi-level density of states = 4.4 states/eV per cell
E_tot = -22.76 eV per cell
symmetry = No. 12



Q: What is the Fermi-level density of states in the second record?
A: 8.4 states/eV per cell